Material: CrTeN2O
Method: DFT, PBE+U
State: relaxed

Results
crystal system: tetragonal
Fermi-level density of states: 1.941 states/eV/cell
symmetry: P4/mmm
energy: -5.668 eV per atom
theoretical density: 5.91 Mg/m³

a b c (Å): 4.0061 4.0061 3.9123
angles (deg): 90.00 90.00 90.00
Fractional coordinates of all 5 atoms:
Cr: 0.0000 0.0000 0.0000
Te: 0.5000 0.5000 0.5000
N: 0.0000 0.5000 0.5000
N: 0.5000 0.0000 0.5000
O: 0.5000 0.5000 0.0000